TePtAu2: optimized geometry, PBEsol.

formation energy from raw total energies = 0.3 eV/f.u.
calculated volume = 74.0 Å³/cell

Cell lengths 3.5838, 3.5838, 5.7624 Å; angles 90.00, 90.00, 90.00 degrees
Space group P4mm (No. 99)
Unique sites:
Te 0.0000 0.0000 0.0000 (multiplicity 1)
Pt 0.5000 0.5000 0.8020 (multiplicity 1)
Au 0.0000 0.0000 0.5258 (multiplicity 1)
Au 0.5000 0.5000 0.3162 (multiplicity 1)


TePt2Au: optimized geometry, PBEsol.

formation energy from raw total energies = 0.4 eV/f.u.
calculated volume = 142.5 Å³/cell

Cell lengths 9.7789, 3.4794, 4.4279 Å; angles 90.00, 108.98, 90.00 degrees
Space group Cm (No. 8)
Unique sites:
Te 0.0000 0.0000 0.0000 (multiplicity 2)
Pt 0.2224 0.5000 0.1885 (multiplicity 2)
Pt 0.4497 0.0000 0.4689 (multiplicity 2)
Au 0.2113 0.0000 0.6791 (multiplicity 2)


TePtAu3: optimized geometry, PBEsol.

formation energy from raw total energies = 6.2 eV/f.u.
calculated volume = 125.8 Å³/cell

Cell lengths 5.0111, 5.0111, 5.0111 Å; angles 90.00, 90.00, 90.00 degrees
Space group Pm-3m (No. 221)
Unique sites:
Te 0.0000 0.0000 0.0000 (multiplicity 1)
Pt 0.5000 0.5000 0.5000 (multiplicity 1)
Au 0.0000 0.0000 0.5000 (multiplicity 3)


TePtAu2: optimized geometry, PBEsol.

formation energy from raw total energies = 0.3 eV/f.u.
calculated volume = 153.5 Å³/cell

Cell lengths 5.4856, 5.7084, 4.9011 Å; angles 90.00, 90.00, 90.00 degrees
Space group Cmmm (No. 65)
Unique sites:
Te 0.0000 0.0000 0.0000 (multiplicity 2)
Pt 0.0000 0.5000 0.0000 (multiplicity 2)
Au 0.0000 0.2575 0.5000 (multiplicity 4)


Ti3PtAu: optimized geometry, PBEsol.

calculated volume = 104.1 Å³/cell
energy of formation from the pure elements = 377 meV/atom

Cell lengths 4.7046, 4.7046, 4.7046 Å; angles 90.00, 90.00, 90.00 degrees
Space group Pm-3m (No. 221)
Unique sites:
Ti 0.0000 0.0000 0.5000 (multiplicity 3)
Pt 0.0000 0.0000 0.0000 (multiplicity 1)
Au 0.5000 0.5000 0.5000 (multiplicity 1)


Ti2Pt2Au: optimized geometry, PBEsol.

calculated volume = 159.3 Å³/cell
energy of formation from the pure elements = -756 meV/atom

Cell lengths 7.4876, 7.4876, 2.8413 Å; angles 90.00, 90.00, 90.00 degrees
Space group P4/mbm (No. 127)
Unique sites:
Ti 0.1666 0.3334 0.0000 (multiplicity 4)
Pt 0.1310 0.6310 0.5000 (multiplicity 4)
Au 0.0000 0.0000 0.5000 (multiplicity 2)


Tl2PtAu: optimized geometry, PBEsol.

calculated volume = 83.6 Å³/cell
energy of formation from the pure elements = 7 meV/atom

Cell lengths 3.7348, 4.1283, 5.7274 Å; angles 90.00, 108.80, 90.00 degrees
Space group Pm (No. 6)
Unique sites:
Tl 0.0000 0.0000 0.0000 (multiplicity 1)
Tl 0.3018 0.5000 0.6034 (multiplicity 1)
Pt 0.7413 0.0000 0.4801 (multiplicity 1)
Au 0.5707 0.5000 0.1439 (multiplicity 1)


UPt4Au: optimized geometry, PBEsol.

calculated volume = 410.7 Å³/cell
energy of formation from the pure elements = -516 meV/atom

Cell lengths 7.4333, 7.4333, 7.4333 Å; angles 90.00, 90.00, 90.00 degrees
Space group F-43m (No. 216)
Unique sites:
U 0.0000 0.0000 0.0000 (multiplicity 4)
Pt 0.1246 0.1246 0.6246 (multiplicity 16)
Au 0.2500 0.2500 0.2500 (multiplicity 4)


| no. | DOS at the Fermi energy (states/eV per cell) |
| --- | --- |
| 1 | 1.5 |
| 2 | 4.2 |
| 3 | 3.1 |
| 4 | 3.2 |
| 5 | 9.1 |
| 6 | 8.8 |
| 7 | 1.6 |
| 8 | 29.6 |